# 1
DFT (PBE) results for an optimized crystal structure of Sm2TlSi.

Output
symmetry	No. 166
formation energy (no corrections)	-0.410	eV per atom

Lattice parameters (Å, degrees): 4.202 4.202 23.348 90.00 90.00 120.00
Fractional positions:
Sm 0.000 0.000 0.235
Sm 0.000 0.000 0.765
Sm 0.333 0.667 0.432
Sm 0.333 0.667 0.902
Sm 0.667 0.333 0.098
Sm 0.667 0.333 0.568
Tl 0.000 0.000 0.000
Tl 0.333 0.667 0.667
Tl 0.667 0.333 0.333
Si 0.000 0.000 0.500
Si 0.333 0.667 0.167
Si 0.667 0.333 0.833


# 2
DFT (PBE) results for an optimized crystal structure of Ac2Pr3Sm4.

Output
E_form	30	meV/atom
symmetry	No. 12
energy above the most stable polymorph in this dataset	0.000	eV/atom

Lattice parameters (Å, degrees): 8.370 8.370 8.315 107.48 107.48 37.04
Fractional positions:
Ac 0.164 0.164 0.001
Ac 0.836 0.836 0.999
Pr 0.390 0.390 0.339
Pr 0.500 0.500 0.000
Pr 0.610 0.610 0.661
Sm 0.057 0.057 0.341
Sm 0.278 0.278 0.659
Sm 0.722 0.722 0.341
Sm 0.943 0.943 0.659


# 3
DFT (PBE) results for an optimized crystal structure of LiGa2NiBr.

Output
symmetry	No. 123
formation energy (no corrections)	0.496	eV per atom

Lattice parameters (Å, degrees): 5.694 5.694 4.335 90.00 90.00 90.00
Fractional positions:
Li 0.000 0.000 0.000
Ga 0.000 0.500 0.500
Ga 0.500 0.000 0.500
Ni 0.500 0.500 0.000
Br 0.500 0.500 0.500


# 4
DFT (PBE) results for an optimized crystal structure of CsZnOF2.

Output
symmetry	No. 123
formation energy (no corrections)	-0.357	eV per atom
energy above the most stable polymorph in this dataset	1.394	eV/atom

Lattice parameters (Å, degrees): 5.211 5.211 4.343 90.00 90.00 90.00
Fractional positions:
Cs 0.000 0.000 0.000
Zn 0.500 0.500 0.500
O 0.000 0.000 0.500
F 0.000 0.500 0.000
F 0.500 0.000 0.000


| no. | total energy (eV per cell) |
| --- | --- |
| 1 | -56.61 |
| 2 | -41.16 |
| 3 | -12.94 |
| 4 | -12.61 |